{"formula": "AcSmN", "functional": "PBE", "state": "optimized geometry", "dos_at_fermi_per_ev_atom": 1.151, "raw_formation_energy_ev_per_atom": -0.59, "lattice_angstrom": [[13.4878, 0.0000, 0.0000], [0.0000, 3.5743, 0.0000], [0.0000, 0.0000, 7.4670]], "species": ["Ac", "Ac", "Ac", "Ac", "Sm", "Sm", "Sm", "Sm", "N", "N", "N", "N"], "frac_coords": [[0.1141, 0.2500, 0.1105], [0.3859, 0.7500, 0.6105], [0.6141, 0.2500, 0.3895], [0.8859, 0.7500, 0.8895], [0.1012, 0.2500, 0.6547], [0.3988, 0.7500, 0.1547], [0.6012, 0.2500, 0.8453], [0.8988, 0.7500, 0.3453], [0.0757, 0.7500, 0.8518], [0.4243, 0.2500, 0.3518], [0.5757, 0.7500, 0.6482], [0.9243, 0.2500, 0.1482]]}